# 1
The following is a PBE calculation of a geometry-optimized LaMg9Ga3 structure, from Alexandria via LeMat-Bulk. Values from VASP.

Cell and atoms, written as Quantum ESPRESSO input:
```
&SYSTEM
  ibrav = 0, nat = 13, ntyp = 3
/
ATOMIC_SPECIES
Mg 24.30 Mg.upf
La 138.91 La.upf
Ga 69.72 Ga.upf
CELL_PARAMETERS angstrom
5.282 0.017 2.144
2.562 7.114 1.040
-0.013 0.009 7.608
ATOMIC_POSITIONS crystal
Mg 0.649 0.349 0.354
Mg 0.997 0.651 0.354
Mg 0.494 0.787 0.217
Mg 0.351 0.651 0.646
Mg 0.712 0.787 0.783
Mg 0.003 0.349 0.646
Mg 0.506 0.213 0.783
Mg 0.000 0.500 0.000
Mg 0.288 0.213 0.217
La 0.000 0.000 0.000
Ga 0.500 0.000 0.500
Ga 0.000 0.000 0.500
Ga 0.500 0.500 0.000
```

ΔH_f (0 K) in meV/atom: -173
Symmetry: C2/m
Calculated volume in A^3/atom: 21.98

---

# 2
The following is a PBE calculation of a geometry-optimized LaMgGa2 structure, from Alexandria via LeMat-Bulk. Values from VASP.

Cell and atoms, written as Quantum ESPRESSO input:
```
&SYSTEM
  ibrav = 0, nat = 4, ntyp = 3
/
ATOMIC_SPECIES
Mg 24.30 Mg.upf
Ga 69.72 Ga.upf
La 138.91 La.upf
CELL_PARAMETERS angstrom
-2.210 -0.058 3.738
2.127 -3.966 1.196
3.398 2.440 2.046
ATOMIC_POSITIONS crystal
Mg 0.500 0.500 0.500
Ga 0.000 0.500 0.000
Ga 0.000 0.000 0.500
La 0.500 0.000 0.000
```

ΔH_f (0 K) in meV/atom: -400
Symmetry: P4/mmm
Calculated volume in A^3/atom: 23.54

---

# 3
The following is a PBE calculation of a geometry-optimized LaMgMnGa2 structure, from Alexandria via LeMat-Bulk. Values from VASP.

Cell and atoms, written as Quantum ESPRESSO input:
```
&SYSTEM
  ibrav = 0, nat = 5, ntyp = 4
/
ATOMIC_SPECIES
Ga 69.72 Ga.upf
Mn 54.94 Mn.upf
La 138.91 La.upf
Mg 24.30 Mg.upf
CELL_PARAMETERS angstrom
4.687 0.000 0.000
0.000 4.687 0.000
0.000 0.000 4.803
ATOMIC_POSITIONS crystal
Ga 0.000 0.500 0.000
Ga 0.500 0.000 0.000
Mn 0.000 0.000 0.000
La 0.500 0.500 0.500
Mg 0.000 0.000 0.500
```

ΔH_f (0 K) in meV/atom: -193
Symmetry: P4/mmm
Calculated volume in A^3/atom: 21.10

---

# 4
The following is a PBE calculation of a geometry-optimized La2MgGaN structure, from Alexandria via LeMat-Bulk. Values from VASP.

Cell and atoms, written as Quantum ESPRESSO input:
```
&SYSTEM
  ibrav = 0, nat = 5, ntyp = 4
/
ATOMIC_SPECIES
Ga 69.72 Ga.upf
La 138.91 La.upf
Mg 24.30 Mg.upf
N 14.01 N.upf
CELL_PARAMETERS angstrom
5.129 0.000 0.000
0.000 5.129 0.000
0.000 0.000 4.344
ATOMIC_POSITIONS crystal
Ga 0.500 0.500 0.500
La 0.500 0.000 0.000
La 0.000 0.500 0.000
Mg 0.000 0.000 0.500
N 0.000 0.000 0.000
```

Total energy in eV/atom: -5.301
Symmetry: P4/mmm
Calculated volume in A^3/atom: 22.86

---

# 5
The following is a PBE calculation of a geometry-optimized NaLaMgGa structure, from Alexandria via LeMat-Bulk. Values from VASP.

Cell and atoms, written as Quantum ESPRESSO input:
```
&SYSTEM
  ibrav = 0, nat = 4, ntyp = 4
/
ATOMIC_SPECIES
Mg 24.30 Mg.upf
Na 22.99 Na.upf
La 138.91 La.upf
Ga 69.72 Ga.upf
CELL_PARAMETERS angstrom
-4.191 -2.548 -1.736
-1.019 -4.805 1.716
-4.041 -0.827 3.172
ATOMIC_POSITIONS crystal
Mg 0.000 0.000 0.000
Na 0.250 0.250 0.250
La 0.500 0.500 0.500
Ga 0.750 0.750 0.750
```

ΔH_f (0 K) in meV/atom: -182
Symmetry: F-43m
Calculated volume in A^3/atom: 24.90

---

# 6
The following is a PBE calculation of a geometry-optimized LaNdMgGa structure, from Alexandria via LeMat-Bulk. Values from VASP.

Cell and atoms, written as Quantum ESPRESSO input:
```
&SYSTEM
  ibrav = 0, nat = 4, ntyp = 4
/
ATOMIC_SPECIES
La 138.91 La.upf
Nd 144.24 Nd.upf
Ga 69.72 Ga.upf
Mg 24.30 Mg.upf
CELL_PARAMETERS angstrom
5.394 0.000 0.000
2.697 4.672 0.000
2.697 1.557 4.405
ATOMIC_POSITIONS crystal
La 0.000 0.000 0.000
Nd 0.500 0.500 0.500
Ga 0.250 0.250 0.250
Mg 0.750 0.750 0.750
```

ΔH_f (0 K) in meV/atom: -333
Symmetry: F-43m
Calculated volume in A^3/atom: 27.75

---

# 7
The following is a PBE calculation of a geometry-optimized LaMgGa2Ni2 structure, from Alexandria via LeMat-Bulk. Values from VASP.

Cell and atoms, written as Quantum ESPRESSO input:
```
&SYSTEM
  ibrav = 0, nat = 6, ntyp = 4
/
ATOMIC_SPECIES
La 138.91 La.upf
Ni 58.69 Ni.upf
Mg 24.30 Mg.upf
Ga 69.72 Ga.upf
CELL_PARAMETERS angstrom
-3.619 -2.059 -0.869
3.517 -2.193 0.956
-1.733 0.181 6.790
ATOMIC_POSITIONS crystal
La 0.000 0.000 0.000
Ni 0.333 0.667 0.655
Ni 0.667 0.333 0.345
Mg 0.000 0.000 0.500
Ga 0.333 0.667 0.294
Ga 0.667 0.333 0.706
```

ΔH_f (0 K) in meV/atom: -484
Symmetry: P-3m1
Calculated volume in A^3/atom: 18.31

---

# 8
The following is a PBE calculation of a geometry-optimized La2MgGa3Ni4 structure, from Alexandria via LeMat-Bulk. Values from VASP.

Cell and atoms, written as Quantum ESPRESSO input:
```
&SYSTEM
  ibrav = 0, nat = 10, ntyp = 4
/
ATOMIC_SPECIES
La 138.91 La.upf
Ni 58.69 Ni.upf
Mg 24.30 Mg.upf
Ga 69.72 Ga.upf
CELL_PARAMETERS angstrom
4.184 0.000 0.000
0.000 4.184 0.000
0.000 0.000 10.367
ATOMIC_POSITIONS crystal
La 0.500 0.000 0.239
La 0.000 0.500 0.761
Ni 0.000 0.000 0.000
Ni 0.500 0.000 0.645
Ni 0.500 0.500 0.000
Ni 0.000 0.500 0.355
Mg 0.500 0.500 0.500
Ga 0.000 0.000 0.500
Ga 0.500 0.000 0.883
Ga 0.000 0.500 0.117
```

ΔH_f (0 K) in meV/atom: -482
Symmetry: P-4m2
Calculated volume in A^3/atom: 18.14